# TmCoAsO (PBE+U, relaxed)
data_TmCoAsO
_cell_length_a 3.8974
_cell_length_b 3.8974
_cell_length_c 7.7684
_cell_angle_alpha 90.00
_cell_angle_beta 90.00
_cell_angle_gamma 90.00
_space_group_name_H-M_alt 'P 4/n m m'
_space_group_IT_number 129
loop_
_space_group_symop_operation_xyz
'x,y,z'
'-x,-y,-z'
'-y+1/2,x,z'
'y+1/2,-x,-z'
'-x+1/2,-y+1/2,z'
'x+1/2,y+1/2,-z'
'y,-x+1/2,z'
'-y,x+1/2,-z'
'x+1/2,-y,-z'
'-x+1/2,y,z'
'-y,-x,-z'
'y,x,z'
'-x,y+1/2,-z'
'x,-y+1/2,z'
'y+1/2,x+1/2,-z'
'-y+1/2,-x+1/2,z'
loop_
_atom_site_label
_atom_site_type_symbol
_atom_site_fract_x
_atom_site_fract_y
_atom_site_fract_z
Tm1 Tm 0.2500 0.2500 0.1371
Co1 Co 0.2500 0.7500 0.5000
As1 As 0.2500 0.2500 0.6537
O1 O 0.2500 0.7500 0.0000
# Energy above the most stable polymorph in this dataset (eV/atom): 0.0000